Entry 1:
Entry from Alexandria via LeMat-Bulk: an optimized crystal structure of BeGaF3 (GGA-PBEsol).

Unit cell a=3.688 b=3.688 c=3.688 alpha=90.00 beta=90.00 gamma=90.00
Fractional coordinates of all 5 atoms:
F 0.000 0.500 0.000
Be 0.000 0.000 0.000
Ga 0.500 0.500 0.500
F 0.000 0.000 0.500
F 0.500 0.000 0.000

Computed properties:
Theoretical density: 4.49 Mg/m³
D(E_F): 0.00 states/eV/f.u.
Space group: Pm-3m, No. 221
Raw formation energy: -2.26 eV/atom

Entry 2:
Entry from Alexandria via LeMat-Bulk: an optimized crystal structure of Be2GaF (GGA-PBEsol).

Unit cell a=4.875 b=5.421 c=4.875 alpha=63.28 beta=90.00 gamma=116.72
Fractional coordinates of all 8 atoms:
Ga 0.750 0.500 0.750
Ga 0.000 0.000 0.000
Be 0.875 0.250 0.535
Be 0.215 0.750 0.875
F 0.250 0.500 0.250
Be 0.375 0.250 0.215
F 0.500 0.000 0.500
Be 0.535 0.750 0.375

Computed properties:
Theoretical density: 3.57 Mg/m³
D(E_F): 1.06 states/eV/f.u.
Space group: I-42d, No. 122
Raw formation energy: -0.31 eV/atom